(1)
First-principles (meta-GGA SCAN) data for a PBEsol-optimized structure of BeFe2Se, as listed in Alexandria via LeMat-Bulk.

Summary:
formation energy from raw total energies: 0.067 eV per atom

Unit cell a=3.0384 b=3.0384 c=4.9052 alpha=90.00 beta=90.00 gamma=90.00
Fractional coordinates of all 4 atoms:
Be1 0.0000 0.0000 0.0000
Fe1 0.0000 0.0000 0.4677
Fe2 0.5000 0.5000 0.1904
Se1 0.5000 0.5000 0.7086

=====

(2)
First-principles (meta-GGA SCAN) data for a PBEsol-optimized structure of Y2MnSb, as listed in Alexandria via LeMat-Bulk.

Summary:
formation energy from raw total energies: -0.542 eV per atom

Unit cell a=3.9256 b=4.6111 c=10.3627 alpha=90.00 beta=90.00 gamma=90.00
Fractional coordinates of all 8 atoms:
Y1 0.0000 0.0000 0.0000
Y2 0.0000 0.5000 0.2299
Y3 0.5000 0.0000 0.7299
Y4 0.5000 0.5000 0.5000
Mn1 0.0000 0.5000 0.7621
Mn2 0.5000 0.0000 0.2621
Sb1 0.0000 0.0000 0.4558
Sb2 0.5000 0.5000 0.9558